No. 1
# PBE-GGA Tm2NiAu, optimized geometry
# uncorrected energy: -5.159 eV per atom
# energy relative to the elements: -0.658 eV per atom
data_Tm2NiAu
_chemical_formula_sum 'Tm2 Ni1 Au1'
_space_group_name_H-M_alt 'P 4/m m m'
_space_group_IT_number 123
_space_group_name_Hall '-P 4 2'
_cell_length_a 3.430
_cell_length_b 3.430
_cell_length_c 6.977
_cell_angle_alpha 90.00
_cell_angle_beta 90.00
_cell_angle_gamma 90.00
loop_
_atom_site_label
_atom_site_type_symbol
_atom_site_fract_x
_atom_site_fract_y
_atom_site_fract_z
_atom_site_occupancy
Tm1 Tm 0.000 0.000 0.234 1
Ni1 Ni 0.500 0.500 0.000 1
Au1 Au 0.500 0.500 0.500 1



No. 2
# PBE-GGA Cs4Rb3LiF8, optimized geometry
# uncorrected energy: -4.047 eV per atom
# formation energy without anion corrections: -41.5 eV/f.u.
data_Cs4Rb3LiF8
_chemical_formula_sum 'Cs8 Rb6 Li2 F16'
_space_group_name_H-M_alt 'C 1 2/m 1'
_space_group_IT_number 12
_space_group_name_Hall '-C 2y'
_cell_length_a 14.613
_cell_length_b 8.004
_cell_length_c 8.056
_cell_angle_alpha 90.00
_cell_angle_beta 123.26
_cell_angle_gamma 90.00
loop_
_atom_site_label
_atom_site_type_symbol
_atom_site_fract_x
_atom_site_fract_y
_atom_site_fract_z
_atom_site_occupancy
Cs1 Cs 0.000 0.000 0.000 1
Cs2 Cs 0.000 0.500 0.000 1
Cs3 Cs 0.250 0.250 0.500 1
Rb1 Rb 0.000 0.000 0.500 1
Rb2 Rb 0.250 0.250 0.000 1
Li1 Li 0.000 0.500 0.500 1
F1 F 0.003 0.299 0.697 1
F2 F 0.224 0.000 0.211 1
F3 F 0.244 0.000 0.755 1



No. 3
# PBE-GGA MgNb2InCo, optimized geometry
# uncorrected energy: -5.894 eV per atom
# energy relative to the elements: 0.422 eV per atom
data_MgNb2InCo
_chemical_formula_sum 'Mg1 Nb2 In1 Co1'
_space_group_name_H-M_alt 'P 4/m m m'
_space_group_IT_number 123
_space_group_name_Hall '-P 4 2'
_cell_length_a 4.610
_cell_length_b 4.610
_cell_length_c 4.704
_cell_angle_alpha 90.00
_cell_angle_beta 90.00
_cell_angle_gamma 90.00
loop_
_atom_site_label
_atom_site_type_symbol
_atom_site_fract_x
_atom_site_fract_y
_atom_site_fract_z
_atom_site_occupancy
Mg1 Mg 0.000 0.000 0.000 1
Nb1 Nb 0.000 0.500 0.500 1
In1 In 0.500 0.500 0.000 1
Co1 Co 0.000 0.000 0.500 1



No. 4
# PBE-GGA Ca2AlS, optimized geometry
# uncorrected energy: -3.651 eV per atom
# formation energy without anion corrections: -2.7 eV/f.u.
data_Ca2AlS
_chemical_formula_sum 'Ca8 Al4 S4'
_space_group_name_H-M_alt 'I -4 2 d'
_space_group_IT_number 122
_space_group_name_Hall 'I -4 2bw'
_cell_length_a 7.810
_cell_length_b 7.810
_cell_length_c 7.649
_cell_angle_alpha 90.00
_cell_angle_beta 90.00
_cell_angle_gamma 90.00
loop_
_atom_site_label
_atom_site_type_symbol
_atom_site_fract_x
_atom_site_fract_y
_atom_site_fract_z
_atom_site_occupancy
Ca1 Ca 0.205 0.250 0.125 1
Al1 Al 0.000 0.000 0.500 1
S1 S 0.000 0.000 0.000 1



No. 5
# PBE-GGA Pm3Dy5Ho4, optimized geometry
# uncorrected energy: -4.395 eV per atom
# energy relative to the elements: 0.236 eV per atom
data_Pm3Dy5Ho4
_chemical_formula_sum 'Pm6 Dy10 Ho8'
_space_group_name_H-M_alt 'C 1 2/m 1'
_space_group_IT_number 12
_space_group_name_Hall '-C 2y'
_cell_length_a 15.986
_cell_length_b 5.901
_cell_length_c 9.254
_cell_angle_alpha 90.00
_cell_angle_beta 116.13
_cell_angle_gamma 90.00
loop_
_atom_site_label
_atom_site_type_symbol
_atom_site_fract_x
_atom_site_fract_y
_atom_site_fract_z
_atom_site_occupancy
Pm1 Pm 0.000 0.000 0.000 1
Pm2 Pm 0.208 0.500 0.230 1
Dy1 Dy 0.000 0.500 0.000 1
Dy2 Dy 0.074 0.000 0.697 1
Dy3 Dy 0.173 0.000 0.388 1
Ho1 Ho 0.081 0.500 0.441 1
Ho2 Ho 0.210 0.500 0.877 1



No. 6
# PBE-GGA Dy2ReH, optimized geometry
# uncorrected energy: -5.699 eV per atom
data_Dy2ReH
_chemical_formula_sum 'Dy6 Re3 H3'
_space_group_name_H-M_alt 'R -3 m'
_space_group_IT_number 166
_space_group_name_Hall '-R 3 2"'
_cell_length_a 3.0426
_cell_length_b 3.0426
_cell_length_c 26.4099
_cell_angle_alpha 90.00
_cell_angle_beta 90.00
_cell_angle_gamma 120.00
loop_
_atom_site_label
_atom_site_type_symbol
_atom_site_fract_x
_atom_site_fract_y
_atom_site_fract_z
_atom_site_occupancy
Dy1 Dy 0.0000 0.0000 0.1051 1
Re1 Re 0.0000 0.0000 0.0000 1
H1 H 0.0000 0.0000 0.5000 1



No. 7
# PBE-GGA CaLuCdHg, optimized geometry
# uncorrected energy: -2.341 eV per atom
# energy relative to the elements: -0.406 eV per atom
data_CaLuCdHg
_chemical_formula_sum 'Ca4 Lu4 Cd4 Hg4'
_space_group_name_H-M_alt 'F -4 3 m'
_space_group_IT_number 216
_space_group_name_Hall 'F -4 2 3'
_cell_length_a 7.445
_cell_length_b 7.445
_cell_length_c 7.445
_cell_angle_alpha 90.00
_cell_angle_beta 90.00
_cell_angle_gamma 90.00
loop_
_atom_site_label
_atom_site_type_symbol
_atom_site_fract_x
_atom_site_fract_y
_atom_site_fract_z
_atom_site_occupancy
Ca1 Ca 0.000 0.000 0.000 1
Lu1 Lu 0.000 0.000 0.500 1
Cd1 Cd 0.250 0.250 0.250 1
Hg1 Hg 0.250 0.250 0.750 1



No. 8
# PBE-GGA Sb5C, optimized geometry
# uncorrected energy: -4.408 eV per atom
# formation energy without anion corrections: 3.4 eV/f.u.
data_Sb5C
_chemical_formula_sum 'Sb10 C2'
_space_group_name_H-M_alt 'A m m 2'
_space_group_IT_number 38
_space_group_name_Hall 'A 2 -2'
_cell_length_a 4.074
_cell_length_b 3.305
_cell_length_c 25.462
_cell_angle_alpha 90.00
_cell_angle_beta 90.00
_cell_angle_gamma 90.00
loop_
_atom_site_label
_atom_site_type_symbol
_atom_site_fract_x
_atom_site_fract_y
_atom_site_fract_z
_atom_site_occupancy
Sb1 Sb 0.000 0.000 0.000 1
Sb2 Sb 0.000 0.000 0.315 1
Sb3 Sb 0.000 0.000 0.638 1
Sb4 Sb 0.500 0.000 0.397 1
Sb5 Sb 0.500 0.000 0.719 1
C1 C 0.500 0.000 0.952 1



No. 9
# PBE-GGA La3TbSm6Y2, optimized geometry
# uncorrected energy: -5.035 eV per atom
# energy relative to the elements: 0.020 eV per atom
data_La3TbSm6Y2
_chemical_formula_sum 'La6 Tb2 Sm12 Y4'
_space_group_name_H-M_alt 'C 1 2/m 1'
_space_group_IT_number 12
_space_group_name_Hall '-C 2y'
_cell_length_a 6.312
_cell_length_b 10.942
_cell_length_c 12.085
_cell_angle_alpha 90.00
_cell_angle_beta 100.07
_cell_angle_gamma 90.00
loop_
_atom_site_label
_atom_site_type_symbol
_atom_site_fract_x
_atom_site_fract_y
_atom_site_fract_z
_atom_site_occupancy
La1 La 0.000 0.000 0.000 1
La2 La 0.000 0.333 0.000 1
Tb1 Tb 0.000 0.500 0.500 1
Sm1 Sm 0.248 0.334 0.745 1
Sm2 Sm 0.249 0.000 0.745 1
Y1 Y 0.000 0.167 0.500 1



No. 10
# PBE-GGA Ba2YZr, optimized geometry
# uncorrected energy: -4.215 eV per atom
# energy relative to the elements: 0.500 eV per atom
data_Ba2YZr
_chemical_formula_sum 'Ba4 Y2 Zr2'
_space_group_name_H-M_alt 'I m m 2'
_space_group_IT_number 44
_space_group_name_Hall 'I 2 -2'
_cell_length_a 3.783
_cell_length_b 6.520
_cell_length_c 13.013
_cell_angle_alpha 90.00
_cell_angle_beta 90.00
_cell_angle_gamma 90.00
loop_
_atom_site_label
_atom_site_type_symbol
_atom_site_fract_x
_atom_site_fract_y
_atom_site_fract_z
_atom_site_occupancy
Ba1 Ba 0.000 0.000 0.000 1
Ba2 Ba 0.000 0.500 0.212 1
Y1 Y 0.000 0.500 0.778 1
Zr1 Zr 0.000 0.000 0.472 1



No. 11
# PBE-GGA CeNd3Er2Se6, optimized geometry
# uncorrected energy: -5.983 eV per atom
# formation energy without anion corrections: -21.5 eV/f.u.
data_CeNd3Er2Se6
_chemical_formula_sum 'Ce2 Nd6 Er4 Se12'
_space_group_name_H-M_alt 'C 1 2/m 1'
_space_group_IT_number 12
_space_group_name_Hall '-C 2y'
_cell_length_a 7.170
_cell_length_b 12.459
_cell_length_c 7.258
_cell_angle_alpha 90.00
_cell_angle_beta 109.40
_cell_angle_gamma 90.00
loop_
_atom_site_label
_atom_site_type_symbol
_atom_site_fract_x
_atom_site_fract_y
_atom_site_fract_z
_atom_site_occupancy
Ce1 Ce 0.000 0.000 0.000 1
Nd1 Nd 0.000 0.164 0.500 1
Nd2 Nd 0.000 0.500 0.500 1
Er1 Er 0.000 0.333 0.000 1
Se1 Se 0.236 0.500 0.235 1
Se2 Se 0.250 0.171 0.238 1



No. 12
# PBE-GGA Tl2NiPb, optimized geometry
# uncorrected energy: -3.105 eV per atom
# energy relative to the elements: 0.450 eV per atom
data_Tl2NiPb
_chemical_formula_sum 'Tl8 Ni4 Pb4'
_space_group_name_H-M_alt 'F m -3 m'
_space_group_IT_number 225
_space_group_name_Hall '-F 4 2 3'
_cell_length_a 7.369
_cell_length_b 7.369
_cell_length_c 7.369
_cell_angle_alpha 90.00
_cell_angle_beta 90.00
_cell_angle_gamma 90.00
loop_
_atom_site_label
_atom_site_type_symbol
_atom_site_fract_x
_atom_site_fract_y
_atom_site_fract_z
_atom_site_occupancy
Tl1 Tl 0.250 0.250 0.250 1
Ni1 Ni 0.000 0.000 0.000 1
Pb1 Pb 0.000 0.000 0.500 1



No. 13
# PBE-GGA BeCrRh3, optimized geometry
# uncorrected energy: -6.711 eV per atom
# energy relative to the elements: 0.370 eV per atom
data_BeCrRh3
_chemical_formula_sum 'Be1 Cr1 Rh3'
_space_group_name_H-M_alt 'P m -3 m'
_space_group_IT_number 221
_space_group_name_Hall '-P 4 2 3'
_cell_length_a 4.062
_cell_length_b 4.062
_cell_length_c 4.062
_cell_angle_alpha 90.00
_cell_angle_beta 90.00
_cell_angle_gamma 90.00
loop_
_atom_site_label
_atom_site_type_symbol
_atom_site_fract_x
_atom_site_fract_y
_atom_site_fract_z
_atom_site_occupancy
Be1 Be 0.000 0.000 0.000 1
Cr1 Cr 0.500 0.500 0.500 1
Rh1 Rh 0.000 0.000 0.500 1



No. 14
# PBE-GGA KBeNb2Sn, optimized geometry
# uncorrected energy: -4.778 eV per atom
# energy relative to the elements: 1.015 eV per atom
data_KBeNb2Sn
_chemical_formula_sum 'K1 Be1 Nb2 Sn1'
_space_group_name_H-M_alt 'P 4/m m m'
_space_group_IT_number 123
_space_group_name_Hall '-P 4 2'
_cell_length_a 4.616
_cell_length_b 4.616
_cell_length_c 5.183
_cell_angle_alpha 90.00
_cell_angle_beta 90.00
_cell_angle_gamma 90.00
loop_
_atom_site_label
_atom_site_type_symbol
_atom_site_fract_x
_atom_site_fract_y
_atom_site_fract_z
_atom_site_occupancy
K1 K 0.000 0.000 0.000 1
Be1 Be 0.000 0.000 0.500 1
Nb1 Nb 0.000 0.500 0.500 1
Sn1 Sn 0.500 0.500 0.000 1



No. 15
# PBE-GGA YCI, optimized geometry
# uncorrected energy: -6.602 eV per atom
# formation energy without anion corrections: -2.6 eV/f.u.
data_YCI
_chemical_formula_sum 'Y4 C4 I4'
_space_group_name_H-M_alt 'C 1 2/m 1'
_space_group_IT_number 12
_space_group_name_Hall '-C 2y'
_cell_length_a 7.333
_cell_length_b 3.923
_cell_length_c 11.256
_cell_angle_alpha 90.00
_cell_angle_beta 93.57
_cell_angle_gamma 90.00
loop_
_atom_site_label
_atom_site_type_symbol
_atom_site_fract_x
_atom_site_fract_y
_atom_site_fract_z
_atom_site_occupancy
Y1 Y 0.146 0.000 0.122 1
C1 C 0.077 0.500 0.972 1
I1 I 0.175 0.000 0.690 1



No. 16
# PBE-GGA La6SbS4, optimized geometry
# uncorrected energy: -6.351 eV per atom
# formation energy without anion corrections: -19.7 eV/f.u.
data_La6SbS4
_chemical_formula_sum 'La24 Sb4 S16'
_space_group_name_H-M_alt 'C m c m'
_space_group_IT_number 63
_space_group_name_Hall '-C 2c 2'
_cell_length_a 4.250
_cell_length_b 13.714
_cell_length_c 21.236
_cell_angle_alpha 90.00
_cell_angle_beta 90.00
_cell_angle_gamma 90.00
loop_
_atom_site_label
_atom_site_type_symbol
_atom_site_fract_x
_atom_site_fract_y
_atom_site_fract_z
_atom_site_occupancy
La1 La 0.000 0.000 0.000 1
La2 La 0.000 0.161 0.250 1
La3 La 0.000 0.271 0.586 1
La4 La 0.000 0.458 0.158 1
Sb1 Sb 0.000 0.160 0.750 1
S1 S 0.000 0.094 0.123 1
S2 S 0.000 0.361 0.038 1



No. 17
# PBE-GGA PrThAgPd, optimized geometry
# uncorrected energy: -5.425 eV per atom
# energy relative to the elements: -0.365 eV per atom
data_PrThAgPd
_chemical_formula_sum 'Pr4 Th4 Ag4 Pd4'
_space_group_name_H-M_alt 'F -4 3 m'
_space_group_IT_number 216
_space_group_name_Hall 'F -4 2 3'
_cell_length_a 7.395
_cell_length_b 7.395
_cell_length_c 7.395
_cell_angle_alpha 90.00
_cell_angle_beta 90.00
_cell_angle_gamma 90.00
loop_
_atom_site_label
_atom_site_type_symbol
_atom_site_fract_x
_atom_site_fract_y
_atom_site_fract_z
_atom_site_occupancy
Pr1 Pr 0.000 0.000 0.000 1
Th1 Th 0.000 0.000 0.500 1
Ag1 Ag 0.250 0.250 0.250 1
Pd1 Pd 0.250 0.250 0.750 1



No. 18
# PBE-GGA Rb2SrH2F6, optimized geometry
# uncorrected energy: -4.520 eV per atom
data_Rb2SrH2F6
_chemical_formula_sum 'Rb4 Sr2 H4 F12'
_space_group_name_H-M_alt 'C 1 2/m 1'
_space_group_IT_number 12
_space_group_name_Hall '-C 2y'
_cell_length_a 9.815
_cell_length_b 6.005
_cell_length_c 7.262
_cell_angle_alpha 90.00
_cell_angle_beta 118.27
_cell_angle_gamma 90.00
loop_
_atom_site_label
_atom_site_type_symbol
_atom_site_fract_x
_atom_site_fract_y
_atom_site_fract_z
_atom_site_occupancy
Rb1 Rb 0.202 0.000 0.144 1
Sr1 Sr 0.000 0.000 0.500 1
H1 H 0.094 0.500 0.294 1
F1 F 0.034 0.259 0.767 1
F2 F 0.209 0.500 0.360 1



No. 19
# PBE-GGA LiHfOs2, optimized geometry
# uncorrected energy: -8.053 eV per atom
# energy relative to the elements: 0.529 eV per atom
data_LiHfOs2
_chemical_formula_sum 'Li4 Hf4 Os8'
_space_group_name_H-M_alt 'I -4 2 d'
_space_group_IT_number 122
_space_group_name_Hall 'I -4 2bw'
_cell_length_a 7.010
_cell_length_b 7.010
_cell_length_c 5.095
_cell_angle_alpha 90.00
_cell_angle_beta 90.00
_cell_angle_gamma 90.00
loop_
_atom_site_label
_atom_site_type_symbol
_atom_site_fract_x
_atom_site_fract_y
_atom_site_fract_z
_atom_site_occupancy
Li1 Li 0.000 0.000 0.000 1
Hf1 Hf 0.000 0.000 0.500 1
Os1 Os 0.207 0.750 0.125 1



No. 20
# PBE-GGA BaReW2, optimized geometry
# uncorrected energy: -8.152 eV per atom
# energy relative to the elements: 1.917 eV per atom
data_BaReW2
_chemical_formula_sum 'Ba1 Re1 W2'
_space_group_name_H-M_alt 'P 4/m m m'
_space_group_IT_number 123
_space_group_name_Hall '-P 4 2'
_cell_length_a 3.949
_cell_length_b 3.949
_cell_length_c 5.116
_cell_angle_alpha 90.00
_cell_angle_beta 90.00
_cell_angle_gamma 90.00
loop_
_atom_site_label
_atom_site_type_symbol
_atom_site_fract_x
_atom_site_fract_y
_atom_site_fract_z
_atom_site_occupancy
Ba1 Ba 0.000 0.000 0.000 1
Re1 Re 0.500 0.500 0.000 1
W1 W 0.000 0.500 0.500 1